Record 1
Entry from Alexandria: a relaxed structure of AcAsPd3 (PBE).

Spin magnetization ... 0.000 μB per atom
Final energy ... -5.533 eV/atom
Crystal system ... cubic
E above lowest polymorph ... 137 meV per atom
Calculated formation energy ... -64.2 kJ/mol of atoms

Structure (POSCAR):
```
AcAsPd3
1.0
-3.2552 3.5140 -0.5308
-0.6502 -1.2965 -4.5960
-3.4939 -3.0327 1.3498
Ac As Pd
1 1 3
Direct
0.5000 0.5000 0.5000
0.0000 0.0000 0.0000
0.0000 0.5000 0.0000
0.0000 0.0000 0.5000
0.5000 0.0000 0.0000
```

---

Record 2
Entry from Alexandria: a relaxed structure of AcCu4Ni (PBE).

Spin magnetization ... 0.000 μB per atom
Final energy ... -4.377 eV/atom
Crystal system ... cubic
E above lowest polymorph ... 36 meV per atom
Calculated formation energy ... 0.2 kJ/mol of atoms

Structure (POSCAR):
```
AcCu4Ni
1.0
-3.4806 -0.5693 3.7407
-0.3253 -4.4507 2.5529
1.5179 -0.2670 4.9047
Ni Ac Cu
1 1 4
Direct
0.0000 0.0000 0.0000
0.2500 0.2500 0.2500
0.6273 0.6273 0.1180
0.6273 0.1180 0.6273
0.6273 0.6273 0.6273
0.1180 0.6273 0.6273
```

---

Record 3
Entry from Alexandria: a relaxed structure of TbGa2CuPd (PBE).

Spin magnetization ... 0.000 μB per atom
Final energy ... -4.577 eV/atom
Crystal system ... tetragonal
Calculated formation energy ... -56.2 kJ/mol of atoms

Structure (POSCAR):
```
TbGa2CuPd
1.0
4.1804 0.0000 0.0000
0.0000 4.1804 0.0000
-2.0902 -2.0902 5.2114
Tb Ga Cu Pd
1 2 1 1
Direct
0.0000 0.0000 0.0000
0.6205 0.6205 0.2410
0.3795 0.3795 0.7590
0.2500 0.7500 0.5000
0.7500 0.2500 0.5000
```

---

Record 4
Entry from Alexandria: a relaxed structure of Te2OsAu (PBE).

Raw formation energy ... 0.738 eV/atom
Spin magnetization ... 0.000 μB per atom
Final energy ... -4.459 eV/atom
Crystal system ... tetragonal
E above lowest polymorph ... 561 meV per atom

Structure (POSCAR):
```
Te2OsAu
1.0
-1.5784 4.6445 -0.3189
-3.0893 -2.8304 2.5660
-0.4097 1.4712 4.6741
Au Os Te
1 1 2
Direct
0.0000 0.5000 0.5000
0.5000 0.5000 0.0000
0.0000 0.0000 0.0000
0.5000 0.0000 0.5000
```

---

Record 5
Entry from Alexandria: a relaxed structure of SrHoTlHg (PBE).

Spin magnetization ... 0.000 μB per atom
Final energy ... -2.626 eV/atom
Crystal system ... cubic
E above lowest polymorph ... 50 meV per atom
Calculated formation energy ... -38.1 kJ/mol of atoms

Structure (POSCAR):
```
SrHoTlHg
1.0
-0.2881 4.8667 2.5455
1.3389 0.4048 5.3189
4.6111 2.6041 1.4845
Sr Tl Hg Ho
1 1 1 1
Direct
0.7500 0.7500 0.7500
0.0000 0.0000 0.0000
0.5000 0.5000 0.5000
0.2500 0.2500 0.2500
```

---

Record 6
Entry from Alexandria: a relaxed structure of Y3MgTa (PBE).

Spin magnetization ... 0.000 μB per atom
Final energy ... -5.268 eV/atom
Crystal system ... cubic
E above lowest polymorph ... 688 meV per atom
Calculated formation energy ... 125.4 kJ/mol of atoms

Structure (POSCAR):
```
Y3MgTa
1.0
-4.8748 -0.3884 -2.2608
-2.0418 -1.6858 4.6921
-1.0456 5.1023 1.3781
Y Mg Ta
3 1 1
Direct
0.0000 0.5000 0.0000
0.0000 0.0000 0.5000
0.5000 0.0000 0.0000
0.0000 0.0000 0.0000
0.5000 0.5000 0.5000
```

---

Record 7
Entry from Alexandria: a relaxed structure of PtPb3S (PBE).

Raw formation energy ... 0.158 eV/atom
Spin magnetization ... 0.000 μB per atom
Final energy ... -4.101 eV/atom
Crystal system ... cubic
E above lowest polymorph ... 0 meV per atom

Structure (POSCAR):
```
PtPb3S
1.0
-3.2824 2.0076 3.7609
3.4710 -1.4974 3.8287
2.4753 4.7620 -0.3816
Pb S Pt
3 1 1
Direct
0.0000 0.5000 0.0000
0.0000 0.0000 0.5000
0.5000 0.0000 0.0000
0.5000 0.5000 0.5000
0.0000 0.0000 0.0000
```

---

Record 8
Entry from Alexandria: a relaxed structure of Mo2Se (PBE).

Raw formation energy ... 0.351 eV/atom
Spin magnetization ... 0.000 μB per atom
Final energy ... -8.032 eV/atom
Crystal system ... hexagonal
E above lowest polymorph ... 444 meV per atom

Structure (POSCAR):
```
Mo2Se
1.0
3.1622 -5.4771 0.0000
3.1622 5.4771 0.0000
0.0000 0.0000 4.1686
Mo Se
6 3
Direct
0.2553 0.0000 0.0000
0.0000 0.2553 0.0000
0.7447 0.7447 0.0000
0.5783 0.0000 0.5000
0.0000 0.5783 0.5000
0.4217 0.4217 0.5000
0.3333 0.6667 0.0000
0.6667 0.3333 0.0000
0.0000 0.0000 0.5000
```

---

Record 9
Entry from Alexandria: a relaxed structure of Pm2Dy5YEr (PBE).

Spin magnetization ... 0.000 μB per atom
Final energy ... -4.562 eV/atom
Crystal system ... tetragonal
Calculated formation energy ... 26.6 kJ/mol of atoms

Structure (POSCAR):
```
Pm2Dy5YEr
1.0
-7.1112 -3.1783 3.6658
4.5848 -2.2741 6.9222
-0.1867 9.7329 -2.0318
Pm Dy Y Er
4 10 2 2
Direct
0.1178 0.3822 0.0000
0.6178 0.1178 0.0000
0.3822 0.8822 0.0000
0.8822 0.6178 0.0000
0.9277 0.4277 0.2798
0.6479 0.1479 0.7202
0.0723 0.5723 0.7202
0.1479 0.0723 0.7202
0.5723 0.6479 0.7202
0.8521 0.9277 0.2798
0.4277 0.3521 0.2798
0.3521 0.8521 0.2798
0.5000 0.5000 0.0000
0.0000 0.0000 0.0000
0.2500 0.2500 0.5000
0.7500 0.7500 0.5000
0.2500 0.7500 0.5000
0.7500 0.2500 0.5000
```

---

Record 10
Entry from Alexandria: a relaxed structure of AcTmSe (PBE).

Raw formation energy ... -0.894 eV/atom
Spin magnetization ... 0.173 μB per atom
Final energy ... -4.915 eV/atom
Crystal system ... tetragonal
E above lowest polymorph ... 122 meV per atom

Structure (POSCAR):
```
AcTmSe
1.0
-1.9996 2.2800 2.3167
-3.1370 -0.6415 -2.0764
1.1546 -5.7899 3.5516
Ac Tm Se
1 1 1
Direct
0.0058 0.0058 0.0116
0.7032 0.7032 0.4064
0.2910 0.2910 0.5821
```

---

Record 11
Entry from Alexandria: a relaxed structure of SrCuHgAu2 (PBE).

Spin magnetization ... 0.000 μB per atom
Final energy ... -2.782 eV/atom
Crystal system ... tetragonal
Calculated formation energy ... -24.6 kJ/mol of atoms

Structure (POSCAR):
```
SrCuHgAu2
1.0
5.0096 0.0000 0.0000
0.0000 5.0096 0.0000
0.0000 0.0000 4.9598
Sr Au Hg Cu
1 2 1 1
Direct
0.5000 0.5000 0.5000
0.0000 0.5000 0.0000
0.5000 0.0000 0.0000
0.0000 0.0000 0.5000
0.0000 0.0000 0.0000
```

---

Record 12
Entry from Alexandria: a relaxed structure of Mg7BiPb3 (PBE).

Spin magnetization ... 0.000 μB per atom
Final energy ... -2.360 eV/atom
Crystal system ... monoclinic
Calculated formation energy ... 1.8 kJ/mol of atoms

Structure (POSCAR):
```
Mg7BiPb3
1.0
-3.1139 6.8448 3.9927
-2.0872 -0.7639 -6.6434
-2.9987 -6.0811 1.7613
Mg Bi Pb
7 1 3
Direct
0.2779 0.1328 0.1328
0.2495 0.1276 0.6333
0.7505 0.3667 0.8724
0.2495 0.6333 0.1276
0.0000 0.5000 0.5000
0.7505 0.8724 0.3667
0.7221 0.8672 0.8672
0.5000 0.5000 0.5000
0.0000 0.7770 0.2230
0.5000 0.0000 0.0000
0.0000 0.2230 0.7770
```

---

Record 13
Entry from Alexandria: a relaxed structure of CaPmNdDy (PBE).

Spin magnetization ... 0.000 μB per atom
Final energy ... -3.905 eV/atom
Crystal system ... cubic
E above lowest polymorph ... 80 meV per atom
Calculated formation energy ... 12.1 kJ/mol of atoms

Structure (POSCAR):
```
CaPmNdDy
1.0
5.8382 0.0000 0.0000
2.9191 5.0560 0.0000
2.9191 1.6853 4.7669
Ca Pm Nd Dy
1 1 1 1
Direct
0.2500 0.2500 0.2500
0.0000 0.0000 0.0000
0.5000 0.5000 0.5000
0.7500 0.7500 0.7500
```

---

Record 14
Entry from Alexandria: a relaxed structure of HgW (PBE).

Spin magnetization ... 0.002 μB per atom
Final energy ... -4.728 eV/atom
Crystal system ... cubic
E above lowest polymorph ... 1395 meV per atom
Calculated formation energy ... 183.2 kJ/mol of atoms

Structure (POSCAR):
```
HgW
1.0
3.8918 0.0000 0.0000
1.9459 3.3704 0.0000
1.9459 1.1235 3.1777
Hg W
1 1
Direct
0.0000 0.0000 0.0000
0.5000 0.5000 0.5000
```

---

Record 15
Entry from Alexandria: a relaxed structure of Pm2HoSn4 (PBE).

Spin magnetization ... 0.000 μB per atom
Final energy ... -4.827 eV/atom
Crystal system ... monoclinic
Calculated formation energy ... -51.0 kJ/mol of atoms

Structure (POSCAR):
```
Pm2HoSn4
1.0
6.1477 0.0000 -0.1881
0.0000 6.2864 0.0000
-2.2777 0.0000 10.2345
Pm Ho Sn
4 2 8
Direct
0.6342 0.7500 0.9794
0.3658 0.2500 0.0206
0.3109 0.2500 0.4168
0.6891 0.7500 0.5832
0.1950 0.7500 0.1996
0.8050 0.2500 0.8004
0.6644 0.5123 0.2735
0.0785 0.7500 0.8910
0.9215 0.2500 0.1090
0.6644 0.9877 0.2735
0.8679 0.2500 0.5219
0.3356 0.0123 0.7265
0.3356 0.4877 0.7265
0.1321 0.7500 0.4781
```

---

Record 16
Entry from Alexandria: a relaxed structure of CdAg3Pd6 (PBE).

Spin magnetization ... 0.000 μB per atom
Final energy ... -4.020 eV/atom
Crystal system ... orthorhombic
E above lowest polymorph ... 130 meV per atom
Calculated formation energy ... 4.1 kJ/mol of atoms

Structure (POSCAR):
```
CdAg3Pd6
1.0
-1.1316 0.0960 4.8203
-0.7950 -8.9668 -0.0081
7.9077 3.9169 1.7784
Cd Ag Pd
2 6 12
Direct
0.1525 0.2156 0.7844
0.6525 0.7844 0.2156
0.4672 0.9301 0.7371
0.9672 0.7371 0.9301
0.0670 0.4008 0.5992
0.5670 0.5992 0.4008
0.9672 0.0699 0.2629
0.4672 0.2629 0.0699
0.0226 0.7161 0.6109
0.5226 0.6109 0.7161
0.3496 0.5440 0.9664
0.8496 0.9664 0.5440
0.4494 0.9445 0.0555
0.6377 0.2972 0.7028
0.1377 0.7028 0.2972
0.9494 0.0555 0.9445
0.3496 0.0336 0.4560
0.8496 0.4560 0.0336
0.0226 0.3891 0.2839
0.5226 0.2839 0.3891
```

---

Record 17
Entry from Alexandria: a relaxed structure of Ba2CdP3O11 (PBE).

Raw formation energy ... -2.367 eV/atom
Spin magnetization ... 0.064 μB per atom
Final energy ... -6.810 eV/atom
Crystal system ... monoclinic

Structure (POSCAR):
```
Ba2CdP3O11
1.0
7.5904 0.0122 0.0268
5.4624 5.2703 0.0268
3.5457 1.4349 6.2990
Ba Cd P O
2 1 3 11
Direct
0.9930 0.9930 0.0193
0.5930 0.5930 0.4200
0.2932 0.2932 0.9530
0.2926 0.2926 0.3680
0.9146 0.9146 0.6321
0.6711 0.6711 0.8760
0.0737 0.5126 0.2384
0.5126 0.0737 0.2384
0.7009 0.1449 0.7446
0.1449 0.7009 0.7446
0.4409 0.8852 0.0049
0.8852 0.4409 0.0049
0.5848 0.5848 0.8123
0.0005 0.0005 0.3958
0.1864 0.1864 0.5915
0.3979 0.3979 0.3827
0.7927 0.7927 0.6571
```

---

Record 18
Entry from Alexandria: a relaxed structure of LaZnGa2 (PBE).

Spin magnetization ... 0.000 μB per atom
Final energy ... -3.624 eV/atom
Crystal system ... orthorhombic
Calculated formation energy ... -54.1 kJ/mol of atoms

Structure (POSCAR):
```
LaZnGa2
1.0
-0.6753 -2.1105 3.7192
9.3760 -5.8155 -1.5976
7.4286 10.0408 7.0467
La Zn Ga
8 8 16
Direct
0.7500 0.4729 0.7041
0.2500 0.9729 0.7959
0.2500 0.5271 0.2959
0.7500 0.0271 0.2041
0.7500 0.2557 0.9543
0.2500 0.7557 0.5457
0.2500 0.7443 0.0457
0.7500 0.2443 0.4543
0.7500 0.5508 0.9445
0.2500 0.0508 0.5555
0.2500 0.4492 0.0555
0.7500 0.9492 0.4445
0.7500 0.3243 0.2079
0.2500 0.8243 0.2921
0.2500 0.6757 0.7921
0.7500 0.1757 0.7079
0.7500 0.9619 0.9693
0.2500 0.4619 0.5307
0.2500 0.0381 0.0307
0.7500 0.5381 0.4693
0.7500 0.7667 0.8814
0.2500 0.2667 0.6186
0.2500 0.2333 0.1186
0.7500 0.7333 0.3814
0.7500 0.7584 0.7045
0.2500 0.2584 0.7955
0.2500 0.2416 0.2955
0.7500 0.7416 0.2045
0.7500 0.9642 0.6292
0.2500 0.4642 0.8708
0.2500 0.0358 0.3708
0.7500 0.5358 0.1291
```

---

Record 19
Entry from Alexandria: a relaxed structure of Sr2SmCdHg6 (PBE).

Spin magnetization ... 0.000 μB per atom
Final energy ... -1.177 eV/atom
Crystal system ... cubic
Calculated formation energy ... -9.2 kJ/mol of atoms

Structure (POSCAR):
```
Sr2SmCdHg6
1.0
-7.1266 0.5522 3.6265
-1.1358 -7.8668 -1.0340
-1.6648 -4.6708 6.2975
Sr Sm Cd Hg
2 1 1 6
Direct
0.2500 0.7500 0.5000
0.7500 0.2500 0.5000
0.5000 0.5000 0.0000
0.0000 0.0000 0.0000
0.2436 0.7564 0.0000
0.7564 0.7564 0.0000
0.2436 0.2436 0.5127
0.7564 0.2436 0.0000
0.2436 0.2436 0.0000
0.7564 0.7564 0.4873
```

---

Record 20
Entry from Alexandria: a relaxed structure of ErHIr3 (PBE).

Spin magnetization ... 0.000 μB per atom
Final energy ... -7.289 eV/atom
Crystal system ... cubic

Structure (POSCAR):
```
ErHIr3
1.0
-2.1288 2.1183 2.7620
-1.9048 -3.4188 1.1539
2.9134 -0.6874 2.7726
H Ir Er
1 3 1
Direct
0.0000 0.0000 0.0000
0.0000 0.5000 0.0000
0.0000 0.0000 0.5000
0.5000 0.0000 0.0000
0.5000 0.5000 0.5000
```